Entry 1:
Here is CdSb2As after structural relaxation from Alexandria via LeMat-Bulk. Energies are from GGA-PBE.

Formation energy (no corrections) ... 102 kJ/mol of formula units
Density of states at the Fermi level ... 0.57 states/eV per atom

abc: 3.719 5.293 4.985
angles: 90.00 90.00 90.00
Element x y z (fractional)
Sb (0.000, 0.000, 0.000)
Sb (0.500, 0.500, 0.000)
As (0.500, 0.000, 0.500)
Cd (0.000, 0.500, 0.500)


Entry 2:
Here is Ca2ZnTe after structural relaxation from Alexandria via LeMat-Bulk. Energies are from GGA-PBE.

Formation energy (no corrections) ... -263 kJ/mol of formula units
Density of states at the Fermi level ... 1.06 states/eV per atom

abc: 4.452 4.455 6.345
angles: 90.00 90.00 90.00
Element x y z (fractional)
Zn (0.500, 0.500, 0.876)
Ca (0.500, 0.500, 0.377)
Ca (0.000, 0.000, 0.873)
Te (0.000, 0.000, 0.373)


Entry 3:
Here is CsTl3In3 after structural relaxation from Alexandria via LeMat-Bulk. Energies are from GGA-PBE.

ΔH_f (0 K) ... -0.0349 eV/atom
Density of states at the Fermi level ... 0.24 states/eV per atom

abc: 7.435 7.435 11.653
angles: 71.40 71.40 60.00
Element x y z (fractional)
In (0.759, 0.074, 0.574)
In (0.407, 0.241, 0.426)
In (0.074, 0.593, 0.574)
In (0.926, 0.407, 0.426)
In (0.593, 0.759, 0.574)
In (0.241, 0.926, 0.426)
Tl (0.187, 0.764, 0.753)
Tl (0.236, 0.703, 0.247)
Tl (0.703, 0.813, 0.247)
Tl (0.764, 0.297, 0.753)
Tl (0.297, 0.187, 0.753)
Tl (0.813, 0.236, 0.247)
Cs (0.692, 0.692, 0.925)
Cs (0.308, 0.308, 0.075)